Material: K2InP
Method: DFT, PBE
State: relaxed

It has space group R-3m (No. 166, hexagonal axes), with a = 3.6342 Å, b = 3.6342 Å, c = 33.7991 Å, α = 90.00°, β = 90.00° and γ = 120.00°. The inequivalent atoms are K at (0.0000, 0.0000, 0.2371), In at (0.0000, 0.0000, 0.0000) and P at (0.0000, 0.0000, 0.5000).

The formation energy is 0.23 eV/atom. The total magnetic moment is 0.000 μB/f.u. Its energy above the most stable polymorph in this dataset is 503 meV per atom.